[1]
First-principles (PBE-GGA) data for an optimized crystal structure of TbNd2Hf, as listed in the Alexandria database.

Calculated values
ΔH_f (0 K), eV/atom: 0.385
Calculated volume, Å³ per atom: 30.47
Symmetry: R-3m
Total DFT energy (no corrections), eV per atom: -5.645

Lattice parameters (Å, degrees): 3.3894 3.3894 12.4053 82.15 82.15 60.00
Positions (direct):
Nd: 0.0851 0.0851 0.7447
Nd: 0.9149 0.9149 0.2553
Hf: 0.0000 0.0000 0.0000
Tb: 0.5000 0.5000 0.5000

---

[2]
First-principles (PBE-GGA) data for an optimized crystal structure of NdHf2Tc, as listed in the Alexandria database.

Calculated values
ΔH_f (0 K), eV/atom: -0.160
Calculated volume, Å³ per atom: 22.75
Symmetry: P4/mmm
Total DFT energy (no corrections), eV per atom: -8.920

Lattice parameters (Å, degrees): 3.3206 3.3206 8.2530 90.00 90.00 90.00
Positions (direct):
Hf: 0.0000 0.0000 0.8144
Hf: 0.0000 0.0000 0.1856
Tc: 0.5000 0.5000 0.0000
Nd: 0.5000 0.5000 0.5000

---

[3]
First-principles (PBE-GGA) data for an optimized crystal structure of NdHfTe, as listed in the Alexandria database.

Calculated values
Calculated volume, Å³ per atom: 28.31
E_form (uncorrected), eV per atom: -0.48
Symmetry: P-6m2
Total DFT energy (no corrections), eV per atom: -6.437

Lattice parameters (Å, degrees): 3.7596 3.7596 13.8772 90.00 90.00 120.00
Positions (direct):
Nd: 0.2776 0.5553 0.8117
Nd: 0.2776 0.5553 0.1883
Hf: 0.2780 0.5561 0.5000
Hf: 0.6107 0.2213 0.0000
Te: 0.6113 0.2226 0.3628
Te: 0.6113 0.2226 0.6372

---

[4]
First-principles (PBE-GGA) data for an optimized crystal structure of NdHfTh2, as listed in the Alexandria database.

Calculated values
ΔH_f (0 K), eV/atom: 0.158
Calculated volume, Å³ per atom: 29.98
Symmetry: R3m
Total DFT energy (no corrections), eV per atom: -7.232

Lattice parameters (Å, degrees): 3.4865 3.4865 11.5693 81.33 81.33 60.00
Positions (direct):
Th: 0.2551 0.2551 0.2346
Th: 0.0786 0.0786 0.7642
Hf: 0.6677 0.6677 0.9969
Nd: 0.4986 0.4986 0.5042

---

[5]
First-principles (PBE-GGA) data for an optimized crystal structure of NdHfTh2, as listed in the Alexandria database.

Calculated values
ΔH_f (0 K), eV/atom: 0.127
Calculated volume, Å³ per atom: 30.25
Symmetry: P4/mmm
Total DFT energy (no corrections), eV per atom: -7.263

Lattice parameters (Å, degrees): 3.4805 3.4805 9.9880 90.00 90.00 90.00
Positions (direct):
Th: 0.0000 0.0000 0.7702
Th: 0.0000 0.0000 0.2298
Hf: 0.5000 0.5000 0.0000
Nd: 0.5000 0.5000 0.5000

---

[6]
First-principles (PBE-GGA) data for an optimized crystal structure of NdHfTh2, as listed in the Alexandria database.

Calculated values
ΔH_f (0 K), eV/atom: 0.184
Calculated volume, Å³ per atom: 30.11
Symmetry: P4/mmm
Total DFT energy (no corrections), eV per atom: -7.206

Lattice parameters (Å, degrees): 4.9217 4.9469 4.9469 90.00 90.00 90.00
Positions (direct):
Th: 0.0000 0.5000 0.0000
Th: 0.0000 0.0000 0.5000
Nd: 0.5000 0.5000 0.5000
Hf: 0.5000 0.0000 0.0000

---

[7]
First-principles (PBE-GGA) data for an optimized crystal structure of NdHfTh2, as listed in the Alexandria database.

Calculated values
ΔH_f (0 K), eV/atom: 0.266
Calculated volume, Å³ per atom: 30.44
Symmetry: R-3m
Total DFT energy (no corrections), eV per atom: -7.124

Lattice parameters (Å, degrees): 3.4025 3.4025 12.3023 82.05 82.05 60.00
Positions (direct):
Th: 0.9087 0.9087 0.2739
Th: 0.0913 0.0913 0.7261
Hf: 0.5000 0.5000 0.5000
Nd: 0.0000 0.0000 0.0000

---

[8]
First-principles (PBE-GGA) data for an optimized crystal structure of NdTmHfTh, as listed in the Alexandria database.

Calculated values
ΔH_f (0 K), eV/atom: 0.199
Calculated volume, Å³ per atom: 29.19
Symmetry: F-43m
Total DFT energy (no corrections), eV per atom: -6.454

Lattice parameters (Å, degrees): 5.4864 5.4864 5.4864 60.00 60.00 60.00
Positions (direct):
Hf: 0.2500 0.2500 0.2500
Nd: 0.5000 0.5000 0.5000
Tm: 0.7500 0.7500 0.7500
Th: 0.0000 0.0000 0.0000

---

[9]
First-principles (PBE-GGA) data for an optimized crystal structure of NdHf2Ti, as listed in the Alexandria database.

Calculated values
ΔH_f (0 K), eV/atom: 0.202
Calculated volume, Å³ per atom: 23.87
Symmetry: P4/mmm
Total DFT energy (no corrections), eV per atom: -7.940

Lattice parameters (Å, degrees): 3.5999 3.5999 7.3685 90.00 90.00 90.00
Positions (direct):
Nd: 0.5000 0.5000 0.5000
Ti: 0.5000 0.5000 0.0000
Hf: 0.0000 0.0000 0.8022
Hf: 0.0000 0.0000 0.1978

---

[10]
First-principles (PBE-GGA) data for an optimized crystal structure of NdHf2Ti, as listed in the Alexandria database.

Calculated values
ΔH_f (0 K), eV/atom: 0.292
Calculated volume, Å³ per atom: 23.94
Symmetry: R-3m
Total DFT energy (no corrections), eV per atom: -7.851

Lattice parameters (Å, degrees): 3.1542 3.1542 11.2605 81.95 81.95 60.00
Positions (direct):
Ti: 0.5000 0.5000 0.5000
Nd: 0.0000 0.0000 0.0000
Hf: 0.0967 0.0967 0.7100
Hf: 0.9033 0.9033 0.2900

---

[11]
First-principles (PBE-GGA) data for an optimized crystal structure of Nd2HfTl, as listed in the Alexandria database.

Calculated values
ΔH_f (0 K), eV/atom: -0.028
Calculated volume, Å³ per atom: 28.96
Symmetry: P4/mmm
Total DFT energy (no corrections), eV per atom: -5.492

Lattice parameters (Å, degrees): 3.4427 3.4427 9.7731 90.00 90.00 90.00
Positions (direct):
Nd: 0.0000 0.0000 0.2526
Nd: 0.0000 0.0000 0.7474
Hf: 0.5000 0.5000 0.5000
Tl: 0.5000 0.5000 0.0000

---

[12]
First-principles (PBE-GGA) data for an optimized crystal structure of Nd2HfTl, as listed in the Alexandria database.

Calculated values
ΔH_f (0 K), eV/atom: 0.004
Calculated volume, Å³ per atom: 27.69
Symmetry: P4/mmm
Total DFT energy (no corrections), eV per atom: -5.460

Lattice parameters (Å, degrees): 4.8275 4.7902 4.7902 90.00 90.00 90.00
Positions (direct):
Tl: 0.5000 0.5000 0.5000
Nd: 0.0000 0.5000 0.0000
Nd: 0.0000 0.0000 0.5000
Hf: 0.5000 0.0000 0.0000

---

[13]
First-principles (PBE-GGA) data for an optimized crystal structure of Nd2HfTl, as listed in the Alexandria database.

Calculated values
ΔH_f (0 K), eV/atom: 0.311
Calculated volume, Å³ per atom: 29.12
Symmetry: R-3m
Total DFT energy (no corrections), eV per atom: -5.153

Lattice parameters (Å, degrees): 3.3385 3.3385 12.2226 82.15 82.15 60.00
Positions (direct):
Tl: 0.5000 0.5000 0.5000
Hf: 0.0000 0.0000 0.0000
Nd: 0.0875 0.0875 0.7374
Nd: 0.9125 0.9125 0.2626

---

[14]
First-principles (PBE-GGA) data for an optimized crystal structure of NdTm2Hf, as listed in the Alexandria database.

Calculated values
ΔH_f (0 K), eV/atom: 0.212
Calculated volume, Å³ per atom: 29.36
Symmetry: P4/mmm
Total DFT energy (no corrections), eV per atom: -5.704

Lattice parameters (Å, degrees): 3.9364 3.9364 7.5794 90.00 90.00 90.00
Positions (direct):
Tm: 0.0000 0.0000 0.2143
Tm: 0.0000 0.0000 0.7857
Nd: 0.5000 0.5000 0.5000
Hf: 0.5000 0.5000 0.0000

---

[15]
First-principles (PBE-GGA) data for an optimized crystal structure of NdTm2Hf, as listed in the Alexandria database.

Calculated values
ΔH_f (0 K), eV/atom: 0.153
Calculated volume, Å³ per atom: 28.51
Symmetry: P4/mmm
Total DFT energy (no corrections), eV per atom: -5.763

Lattice parameters (Å, degrees): 4.8638 4.8422 4.8422 90.00 90.00 90.00
Positions (direct):
Tm: 0.0000 0.0000 0.5000
Tm: 0.0000 0.5000 0.0000
Nd: 0.5000 0.5000 0.5000
Hf: 0.5000 0.0000 0.0000

---

[16]
First-principles (PBE-GGA) data for an optimized crystal structure of Nd2TmHf, as listed in the Alexandria database.

Calculated values
ΔH_f (0 K), eV/atom: 0.213
Calculated volume, Å³ per atom: 29.88
Symmetry: P4/mmm
Total DFT energy (no corrections), eV per atom: -5.777

Lattice parameters (Å, degrees): 4.0448 4.0448 7.3054 90.00 90.00 90.00
Positions (direct):
Tm: 0.5000 0.5000 0.5000
Nd: 0.0000 0.0000 0.7736
Nd: 0.0000 0.0000 0.2264
Hf: 0.5000 0.5000 0.0000

---

[17]
First-principles (PBE-GGA) data for an optimized crystal structure of NdTm2Hf, as listed in the Alexandria database.

Calculated values
ΔH_f (0 K), eV/atom: 0.280
Calculated volume, Å³ per atom: 28.79
Symmetry: Fm-3m
Total DFT energy (no corrections), eV per atom: -5.636

Lattice parameters (Å, degrees): 5.4610 5.4610 5.4610 60.00 60.00 60.00
Positions (direct):
Hf: 0.5000 0.5000 0.5000
Nd: 0.0000 0.0000 0.0000
Tm: 0.7500 0.7500 0.7500
Tm: 0.2500 0.2500 0.2500

---

[18]
First-principles (PBE-GGA) data for an optimized crystal structure of NdTmHf2, as listed in the Alexandria database.

Calculated values
ΔH_f (0 K), eV/atom: 0.347
Calculated volume, Å³ per atom: 26.61
Symmetry: R-3m
Total DFT energy (no corrections), eV per atom: -6.940

Lattice parameters (Å, degrees): 3.2520 3.2520 11.7725 82.06 82.06 60.00
Positions (direct):
Hf: 0.9092 0.9092 0.2724
Hf: 0.0908 0.0908 0.7276
Nd: 0.0000 0.0000 0.0000
Tm: 0.5000 0.5000 0.5000

---

[19]
First-principles (PBE-GGA) data for an optimized crystal structure of NdTm2Hf, as listed in the Alexandria database.

Calculated values
ΔH_f (0 K), eV/atom: 0.106
Calculated volume, Å³ per atom: 28.69
Symmetry: R3m
Total DFT energy (no corrections), eV per atom: -5.810

Lattice parameters (Å, degrees): 3.4329 3.4329 11.4156 81.35 81.35 60.00
Positions (direct):
Hf: 0.6664 0.6664 0.0009
Tm: 0.0765 0.0765 0.7705
Tm: 0.2568 0.2568 0.2297
Nd: 0.5004 0.5004 0.4989

---

[20]
First-principles (PBE-GGA) data for an optimized crystal structure of NdTm2Hf, as listed in the Alexandria database.

Calculated values
ΔH_f (0 K), eV/atom: 0.379
Calculated volume, Å³ per atom: 28.97
Symmetry: R-3m
Total DFT energy (no corrections), eV per atom: -5.537

Lattice parameters (Å, degrees): 3.3342 3.3342 12.1876 82.14 82.14 60.00
Positions (direct):
Hf: 0.0000 0.0000 0.0000
Nd: 0.5000 0.5000 0.5000
Tm: 0.9145 0.9145 0.2565
Tm: 0.0855 0.0855 0.7435

---

[21]
First-principles (PBE-GGA) data for an optimized crystal structure of NdTm14Hf, as listed in the Alexandria database.

Calculated values
ΔH_f (0 K), eV/atom: 0.080
Calculated volume, Å³ per atom: 29.97
Symmetry: Amm2
Total DFT energy (no corrections), eV per atom: -4.753

Lattice parameters (Å, degrees): 6.8046 6.8046 10.8169 90.00 90.00 106.77
Positions (direct):
Tm: 0.1080 0.8920 0.0000
Tm: 0.4215 0.1688 0.2571
Tm: 0.0395 0.3671 0.0000
Tm: 0.3457 0.6543 0.2269
Tm: 0.4215 0.1688 0.7429
Tm: 0.3457 0.6543 0.7731
Tm: 0.8312 0.5785 0.2571
Tm: 0.6177 0.7898 0.5000
Tm: 0.2102 0.3823 0.5000
Tm: 0.6329 0.9605 0.0000
Tm: 0.5599 0.4401 0.0000
Tm: 0.8312 0.5785 0.7429
Tm: 0.8997 0.1003 0.7276
Tm: 0.8997 0.1003 0.2724
Nd: 0.1402 0.8598 0.5000
Hf: 0.6954 0.3046 0.5000

---

[22]
First-principles (PBE-GGA) data for an optimized crystal structure of Nd2TmHf, as listed in the Alexandria database.

Calculated values
ΔH_f (0 K), eV/atom: 0.171
Calculated volume, Å³ per atom: 29.82
Symmetry: R3m
Total DFT energy (no corrections), eV per atom: -5.819

Lattice parameters (Å, degrees): 3.4801 3.4801 11.5480 81.33 81.33 60.00
Positions (direct):
Hf: 0.6672 0.6672 0.9984
Nd: 0.0789 0.0789 0.7633
Nd: 0.2547 0.2547 0.2358
Tm: 0.4992 0.4992 0.5025

---

[23]
First-principles (PBE-GGA) data for an optimized crystal structure of Nd2TmHf, as listed in the Alexandria database.

Calculated values
ΔH_f (0 K), eV/atom: 0.172
Calculated volume, Å³ per atom: 29.67
Symmetry: P4/mmm
Total DFT energy (no corrections), eV per atom: -5.818

Lattice parameters (Å, degrees): 4.8359 4.9542 4.9542 90.00 90.00 90.00
Positions (direct):
Hf: 0.5000 0.0000 0.0000
Tm: 0.5000 0.5000 0.5000
Nd: 0.0000 0.0000 0.5000
Nd: 0.0000 0.5000 0.0000

---

[24]
First-principles (PBE-GGA) data for an optimized crystal structure of Nd2TmHf, as listed in the Alexandria database.

Calculated values
ΔH_f (0 K), eV/atom: 0.374
Calculated volume, Å³ per atom: 30.01
Symmetry: R-3m
Total DFT energy (no corrections), eV per atom: -5.616

Lattice parameters (Å, degrees): 3.3738 3.3738 12.3326 82.14 82.14 60.00
Positions (direct):
Nd: 0.9143 0.9143 0.2570
Nd: 0.0857 0.0857 0.7430
Tm: 0.5000 0.5000 0.5000
Hf: 0.0000 0.0000 0.0000

---

[25]
First-principles (PBE-GGA) data for an optimized crystal structure of NdYHf, as listed in the Alexandria database.

Calculated values
ΔH_f (0 K), eV/atom: 0.114
Calculated volume, Å³ per atom: 30.37
Symmetry: P4/nmm
Total DFT energy (no corrections), eV per atom: -6.947

Lattice parameters (Å, degrees): 3.7621 3.7621 12.8748 90.00 90.00 90.00
Positions (direct):
Nd: 0.0000 0.5000 0.5962
Nd: 0.5000 0.0000 0.4038
Y: 0.5000 0.0000 0.7979
Y: 0.0000 0.5000 0.2021
Hf: 0.5000 0.0000 0.0503
Hf: 0.0000 0.5000 0.9497

---

[26]
First-principles (PBE-GGA) data for an optimized crystal structure of NdYHf, as listed in the Alexandria database.

Calculated values
ΔH_f (0 K), eV/atom: 0.168
Calculated volume, Å³ per atom: 29.01
Symmetry: P3m1
Total DFT energy (no corrections), eV per atom: -6.894

Lattice parameters (Å, degrees): 3.4319 3.4319 8.5337 90.00 90.00 120.00
Positions (direct):
Nd: 0.0000 0.0000 0.0215
Y: 0.3333 0.6667 0.6430
Hf: 0.6667 0.3333 0.3355

---

[27]
First-principles (PBE-GGA) data for an optimized crystal structure of NdYHf, as listed in the Alexandria database.

Calculated values
ΔH_f (0 K), eV/atom: 0.151
Calculated volume, Å³ per atom: 29.21
Symmetry: I4mm
Total DFT energy (no corrections), eV per atom: -6.911

Lattice parameters (Å, degrees): 3.3853 3.3853 8.0131 102.19 102.19 90.00
Positions (direct):
Y: 0.0143 0.0143 0.0287
Hf: 0.6636 0.6636 0.3272
Nd: 0.3221 0.3221 0.6441

---

[28]
First-principles (PBE-GGA) data for an optimized crystal structure of Nd2HfZn, as listed in the Alexandria database.

Calculated values
ΔH_f (0 K), eV/atom: 0.366
Calculated volume, Å³ per atom: 27.09
Symmetry: R-3m
Total DFT energy (no corrections), eV per atom: -4.825

Lattice parameters (Å, degrees): 3.2939 3.2939 11.6868 81.90 81.90 60.00
Positions (direct):
Zn: 0.5000 0.5000 0.5000
Nd: 0.9062 0.9062 0.2814
Nd: 0.0938 0.0938 0.7186
Hf: 0.0000 0.0000 0.0000

---

[29]
First-principles (PBE-GGA) data for an optimized crystal structure of NdHfZn4, as listed in the Alexandria database.

Calculated values
ΔH_f (0 K), eV/atom: -0.179
Calculated volume, Å³ per atom: 18.47
Symmetry: F-43m
Total DFT energy (no corrections), eV per atom: -3.482

Lattice parameters (Å, degrees): 5.3917 5.3917 5.3917 60.00 60.00 60.00
Positions (direct):
Zn: 0.6262 0.1214 0.6262
Zn: 0.1214 0.6262 0.6262
Zn: 0.6262 0.6262 0.6262
Zn: 0.6262 0.6262 0.1214
Hf: 0.0000 0.0000 0.0000
Nd: 0.2500 0.2500 0.2500

---

[30]
First-principles (PBE-GGA) data for an optimized crystal structure of Nd2HfZn, as listed in the Alexandria database.

Calculated values
ΔH_f (0 K), eV/atom: -0.010
Calculated volume, Å³ per atom: 26.49
Symmetry: P4/mmm
Total DFT energy (no corrections), eV per atom: -5.200

Lattice parameters (Å, degrees): 3.4640 3.4640 8.8312 90.00 90.00 90.00
Positions (direct):
Nd: 0.0000 0.0000 0.7674
Nd: 0.0000 0.0000 0.2326
Hf: 0.5000 0.5000 0.5000
Zn: 0.5000 0.5000 0.0000